Entry from Alexandria: crystalline CdGaBrO2 at its relaxed geometry (PBE).

- V (Å³ per cell) = 197
- formation energy from raw total energies (eV per atom) = -1.252
- DOS(E_F) (states/eV/f.u.) = 0.00

Structure (CIF):
```
data_CdGaBrO2
_symmetry_space_group_name_H-M 'P 1 21/m 1'
_symmetry_Int_Tables_number 11
_symmetry_space_group_name_Hall '-P 2yb'
_cell_length_a 6.593
_cell_length_b 3.958
_cell_length_c 7.548
_cell_angle_alpha 90.00
_cell_angle_beta 93.54
_cell_angle_gamma 90.00
loop_
_atom_site_label
_atom_site_type_symbol
_atom_site_fract_x
_atom_site_fract_y
_atom_site_fract_z
Cd1 Cd 0.202 0.250 0.081
Ga1 Ga 0.037 0.250 0.643
Br1 Br 0.406 0.250 0.772
O1 O 0.002 0.750 0.609
O2 O 0.089 0.750 0.141
```